[1]
Crystalline ZrNi2Os at its relaxed geometry. Source: Alexandria via LeMat-Bulk, functional GGA-PBE.

Structure (extended XYZ):
```
8
Lattice="-2.819 -0.392 2.503 0.073 -3.755 -0.507 4.549 -2.843 7.548" Properties=species:S:1:pos:R:3 pbc="T T T"
Os 0.000 0.000 0.000
Zr 1.624 -4.336 4.019
Ni 1.011 -5.914 7.387
Zr -1.373 -2.074 0.998
Os 0.178 -2.655 5.524
Ni -0.730 -1.441 3.489
Ni 0.944 -3.091 1.782
Ni 2.379 -3.536 6.430
```



[2]
Crystalline LaCd2GaNi at its relaxed geometry. Source: Alexandria via LeMat-Bulk, functional GGA-PBE.

Structure (extended XYZ):
```
5
Lattice="4.964 0.000 0.000 0.000 4.964 0.000 0.000 0.000 4.648" Properties=species:S:1:pos:R:3 pbc="T T T"
Ga 0.000 0.000 2.324
Cd 2.482 0.000 0.000
La 2.482 2.482 2.324
Ni 0.000 0.000 0.000
Cd 0.000 2.482 0.000
```



[3]
Crystalline Mg2Zn6Ir3 at its relaxed geometry. Source: Alexandria via LeMat-Bulk, functional GGA-PBE.

Structure (extended XYZ):
```
11
Lattice="4.768 -0.885 0.092 -0.821 3.627 -0.754 -1.029 -2.086 10.234" Properties=species:S:1:pos:R:3 pbc="T T T"
Zn 0.696 -0.862 4.671
Ir 3.324 -0.505 3.513
Ir -0.406 1.162 6.060
Zn -0.721 -0.461 8.164
Zn 2.222 1.519 4.902
Zn 1.433 2.369 0.311
Mg 1.110 0.761 2.472
Ir 0.000 0.000 0.000
Zn 1.485 -1.713 9.261
Mg 1.808 -0.104 7.100
Zn 3.639 1.117 1.408
```



[4]
Crystalline Pm2Pr7Nd3 at its relaxed geometry. Source: Alexandria via LeMat-Bulk, functional GGA-PBE.

Structure (extended XYZ):
```
12
Lattice="-0.590 3.609 -0.271 -5.591 -1.068 -2.051 -5.738 0.460 18.653" Properties=species:S:1:pos:R:3 pbc="T T T"
Pr 0.000 0.000 0.000
Nd -7.989 -0.541 10.208
Pr -9.557 1.311 13.490
Pr -4.806 1.777 9.337
Pr -2.361 1.689 2.841
Nd -3.090 1.270 -1.161
Nd -3.339 -0.067 6.393
Pr -4.643 -0.662 1.302
Pr -7.112 1.224 6.994
Pr -6.685 0.054 15.300
Pm -5.966 1.181 3.927
Pm -5.953 1.819 12.404
```

Computed properties:
energy above the most stable polymorph in this dataset: 0.000 eV per atom



We obtain formation energy from the elements values of 273, -255, -239, 82 meV/atom for the records listed above, in that order.